[1]
A relaxed CdPOsO crystal. Source: the Open Quantum Materials Database, functional PBE.

Space group: No. 129
Energy relative to the lowest polymorph listed for this composition: 1.3 meV/atom

POSCAR file:
```
CdPOsO
1.0
2.896 -2.896 0.000
2.896 2.896 0.000
0.000 0.000 7.689
Cd O Os P
2 2 2 2
Direct
0.000 0.000 0.111
0.500 0.500 0.889
0.500 0.000 0.000
0.000 0.500 0.000
0.500 0.000 0.500
0.000 0.500 0.500
0.500 0.500 0.355
0.000 0.000 0.645
```

[2]
A relaxed RbNaTcIr crystal. Source: the Open Quantum Materials Database, functional PBE.

Space group: No. 216
Energy relative to the lowest polymorph listed for this composition: 0.0 meV/atom

POSCAR file:
```
RbNaTcIr
1.0
4.364 -1.881 0.591
0.492 -4.686 0.857
1.846 -2.868 -3.361
Ir Na Rb Tc
1 1 1 1
Direct
0.000 0.000 0.000
0.750 0.750 0.750
0.500 0.500 0.500
0.250 0.250 0.250
```

[3]
A relaxed Tb3Mg2CdGa3 crystal. Source: the Open Quantum Materials Database, functional PBE.

Space group: No. 38
VASP energy: -3.517 eV/atom

POSCAR file:
```
Tb3Mg2CdGa3
1.0
4.439 0.000 0.000
0.000 6.320 3.632
0.000 -6.320 3.632
Cd Ga Mg Tb
1 3 2 3
Direct
0.000 0.754 0.754
0.500 0.005 0.005
0.000 0.667 0.331
0.000 0.331 0.667
0.000 0.998 0.241
0.000 0.241 0.998
0.500 0.430 0.430
0.500 0.999 0.574
0.500 0.574 0.999
```

[4]
A relaxed NaOsCl6 crystal. Source: the Open Quantum Materials Database, functional PBE.

Space group: No. 84
Energy relative to the lowest polymorph listed for this composition: 0.0 meV/atom

POSCAR file:
```
NaOsCl6
1.0
-2.804 -0.311 -5.676
2.730 -5.625 -1.041
-8.357 -4.869 4.396
Cl Na Os
12 2 2
Direct
0.791 0.199 0.000
0.209 0.801 0.000
0.215 0.354 0.154
0.785 0.646 0.154
0.646 0.215 0.346
0.354 0.785 0.346
0.199 0.209 0.500
0.801 0.791 0.500
0.646 0.215 0.654
0.354 0.785 0.654
0.215 0.354 0.846
0.785 0.646 0.846
0.000 0.000 0.250
0.000 0.000 0.750
0.000 0.500 0.000
0.500 0.000 0.500
```

[5]
A relaxed NaNbSeO crystal. Source: the Open Quantum Materials Database, functional PBE.

Space group: No. 187
Energy relative to the lowest polymorph listed for this composition: 17.0 meV/atom

POSCAR file:
```
NaNbSeO
1.0
-0.586 -0.490 -3.128
3.027 0.380 1.030
1.057 -13.681 1.945
Na Nb O Se
2 2 2 2
Direct
0.000 0.000 0.287
0.000 0.000 0.713
0.000 0.000 0.000
0.000 0.000 0.500
0.667 0.333 0.408
0.667 0.333 0.592
0.333 0.667 0.128
0.333 0.667 0.872
```

[6]
A relaxed TaFeBiMo crystal. Source: the Open Quantum Materials Database, functional PBE.

Space group: No. 216
Energy relative to the lowest polymorph listed for this composition: 0.0 meV/atom

POSCAR file:
```
TaFeBiMo
1.0
4.371 -0.747 1.080
2.781 3.524 0.826
1.470 0.800 4.246
Bi Fe Mo Ta
1 1 1 1
Direct
0.000 0.000 0.000
0.750 0.750 0.750
0.250 0.250 0.250
0.500 0.500 0.500
```

[7]
A relaxed LiNbSO crystal. Source: the Open Quantum Materials Database, functional PBE.

Space group: No. 164
Energy relative to the lowest polymorph listed for this composition: 3.1 meV/atom

POSCAR file:
```
LiNbSO
1.0
-2.642 0.928 -1.377
1.275 -2.744 -0.761
-6.443 -5.412 8.713
Li Nb O S
2 2 2 2
Direct
0.000 0.000 0.000
0.000 0.000 0.500
0.000 0.000 0.276
0.000 0.000 0.724
0.333 0.667 0.384
0.667 0.333 0.616
0.333 0.667 0.140
0.667 0.333 0.860
```

[8]
A relaxed TcGeB2 crystal. Source: the Open Quantum Materials Database, functional PBE.

Space group: No. 216
VASP energy: -5.686 eV/atom

POSCAR file:
```
TcGeB2
1.0
-2.900 -2.704 -0.645
-2.955 0.805 -2.599
-0.180 -1.955 -3.504
B Ge Tc
2 1 1
Direct
0.250 0.250 0.250
0.500 0.500 0.500
0.750 0.750 0.750
0.000 0.000 0.000
```